Entry 1:
Below is a geometry-optimized InPtRh2C structure, with properties calculated at the PBEsol level.

a = 4.7985 Å, b = 4.7985 Å, c = 4.8264 Å
α = 90.00°, β = 90.00°, γ = 90.00°
Last column: nearest neighbours and their distance in Å.
Fractional coordinates of all 5 atoms:
Rh (0.5000, 0.0000, 0.0000)  2 In 2.40
In (0.0000, 0.0000, 0.0000)  4 Rh 2.40, 2 Pt 2.41
C (0.5000, 0.5000, 0.5000)  4 Pt 3.39, 8 Rh 3.40
Rh (0.0000, 0.5000, 0.0000)  2 In 2.40
Pt (0.0000, 0.0000, 0.5000)  2 In 2.41

Computed properties:
- theoretical density (g/cm³) = 7.89
- VASP energy (eV per atom) = -4.27
- formation enthalpy at 0 K (eV/atom) = 2.900
- magnetization (Bohr magnetons per cell) = 1.3



Entry 2:
Below is a geometry-optimized Tl3In structure, with properties calculated at the PBEsol level.

a = 3.4546 Å, b = 5.3807 Å, c = 5.9247 Å
α = 90.00°, β = 90.00°, γ = 90.00°
Last column: nearest neighbours and their distance in Å.
Fractional coordinates of all 4 atoms:
Tl (0.5000, 0.0000, 0.4948)  8 Tl 3.33-3.45, 4 In 3.43
Tl (0.5000, 0.5000, 0.8412)  4 In 3.33, 8 Tl 3.38-3.46
Tl (0.0000, 0.5000, 0.3352)  10 Tl 3.33-3.46, 2 In 3.36
In (0.0000, 0.0000, 0.9954)  10 Tl 3.33-3.43, 2 In 3.45

Computed properties:
- theoretical density (g/cm³) = 10.98
- VASP energy (eV per atom) = -2.71
- formation enthalpy at 0 K (eV/atom) = 0.010
- magnetization (Bohr magnetons per cell) = 0.0



Entry 3:
Below is a geometry-optimized LaSc2Si structure, with properties calculated at the PBEsol level.

a = 3.4202 Å, b = 3.4202 Å, c = 9.9226 Å
α = 80.08°, β = 80.08°, γ = 60.00°
Last column: nearest neighbours and their distance in Å.
Fractional coordinates of all 4 atoms:
Sc (0.0066, 0.0066, 0.9801)  9 Sc 3.27-3.42, 3 La 3.60
La (0.2369, 0.2369, 0.2894)  3 Si 2.98
Sc (0.7628, 0.7628, 0.7115)  3 Si 2.72
Si (0.4937, 0.4937, 0.5190)  3 Sc 2.72, 3 La 2.98

Computed properties:
- theoretical density (g/cm³) = 4.33
- VASP energy (eV per atom) = -6.12
- formation energy from raw total energies (meV per atom) = -45
- magnetization (Bohr magnetons per cell) = 0.0



Entry 4:
Below is a geometry-optimized MoIrCl2 structure, with properties calculated at the PBEsol level.

a = 3.3243 Å, b = 4.1731 Å, c = 4.1731 Å
α = 90.00°, β = 90.00°, γ = 90.00°
Last column: nearest neighbours and their distance in Å.
Fractional coordinates of all 4 atoms:
Ir (0.5000, 0.5000, 0.5000)  8 Cl 2.67, 4 Mo 2.95
Cl (0.0000, 0.5000, 0.0000)  4 Ir 2.67, 4 Mo 2.67, 4 Cl 2.95
Mo (0.5000, 0.0000, 0.0000)  8 Cl 2.67, 4 Ir 2.95
Cl (0.0000, 0.0000, 0.5000)  4 Mo 2.67, 4 Ir 2.67, 4 Cl 2.95

Computed properties:
- theoretical density (g/cm³) = 10.30
- VASP energy (eV per atom) = -5.36
- energy above the most stable polymorph in this dataset (eV per atom) = 1.2842
- formation energy from raw total energies (meV per atom) = 1038
- magnetization (Bohr magnetons per cell) = 0.0



Entry 5:
Below is a geometry-optimized TcTe3 structure, with properties calculated at the PBEsol level.

a = 5.0190 Å, b = 5.0190 Å, c = 5.0190 Å
α = 109.47°, β = 109.47°, γ = 109.47°
Last column: nearest neighbours and their distance in Å.
Fractional coordinates of all 4 atoms:
Te (0.0000, 0.5000, 0.5000)  4 Te 2.90, 2 Tc 2.90
Te (0.5000, 0.5000, 0.0000)  4 Te 2.90, 2 Tc 2.90
Tc (0.0000, 0.0000, 0.0000)  6 Te 2.90
Te (0.5000, 0.0000, 0.5000)  2 Tc 2.90, 4 Te 2.90

Computed properties:
- theoretical density (g/cm³) = 8.20
- VASP energy (eV per atom) = -4.91
- energy above the most stable polymorph in this dataset (eV per atom) = 0.4603
- formation energy from raw total energies (meV per atom) = 554
- magnetization (Bohr magnetons per cell) = 1.1



Entry 6:
Below is a geometry-optimized MgHgPt2 structure, with properties calculated at the PBEsol level.

a = 4.5459 Å, b = 4.5459 Å, c = 4.5459 Å
α = 60.00°, β = 60.00°, γ = 60.00°
Last column: nearest neighbours and their distance in Å.
Fractional coordinates of all 4 atoms:
Pt (0.7500, 0.7500, 0.7500)  4 Pt 2.78, 4 Hg 2.78
Mg (0.2500, 0.2500, 0.2500)  4 Hg 2.78, 4 Pt 2.78
Pt (0.0000, 0.0000, 0.0000)  4 Mg 2.78, 4 Pt 2.78
Hg (0.5000, 0.5000, 0.5000)  4 Pt 2.78, 4 Mg 2.78

Computed properties:
- theoretical density (g/cm³) = 15.38
- VASP energy (eV per atom) = -4.36
- formation enthalpy at 0 K (eV/atom) = -0.303
- magnetization (Bohr magnetons per cell) = 0.0



Entry 7:
Below is a geometry-optimized Ti7S12 structure, with properties calculated at the PBEsol level.

a = 6.7078 Å, b = 8.8599 Å, c = 11.5628 Å
α = 80.55°, β = 89.88°, γ = 79.02°
Last column: nearest neighbours and their distance in Å.
Fractional coordinates of all 38 atoms:
Ti (0.0820, 0.6634, 0.0035)  6 S 2.38-2.47
S (0.4748, 0.1352, 0.8702)  4 Ti 2.34-2.47
S (0.7713, 0.9176, 0.3709)  4 Ti 2.43-2.50
S (0.8692, 0.5157, 0.1315)  4 Ti 2.32-2.48
S (0.2287, 0.0824, 0.6291)  4 Ti 2.43-2.50
S (0.2704, 0.9186, 0.3743)  3 Ti 2.36-2.40
S (0.5615, 0.7512, 0.6270)  3 Ti 2.38-2.40
Ti (0.2484, 0.9992, 0.9963)  6 S 2.37-2.45
S (0.5252, 0.8648, 0.1298)  4 Ti 2.34-2.47
S (0.9374, 0.2497, 0.3726)  3 Ti 2.37-2.41
S (0.3001, 0.8039, 0.8757)  3 Ti 2.37-2.44
S (0.7296, 0.0814, 0.6257)  3 Ti 2.36-2.40
S (0.8969, 0.4143, 0.6281)  4 Ti 2.43-2.48
Ti (0.8194, 0.7239, 0.2339)  6 S 2.32-2.50
Ti (0.8332, 0.6697, 0.5045)  6 S 2.38-2.46
S (0.9574, 0.1350, 0.8696)  4 Ti 2.33-2.47
S (0.7983, 0.8032, 0.8804)  3 Ti 2.39-2.41
Ti (0.1806, 0.2761, 0.7661)  6 S 2.32-2.50
S (0.1031, 0.5857, 0.3719)  4 Ti 2.43-2.48
S (0.3937, 0.4166, 0.6250)  4 Ti 2.44-2.50
Ti (0.6698, 0.3231, 0.4984)  6 S 2.36-2.47
S (0.4385, 0.2488, 0.3730)  3 Ti 2.38-2.40
S (0.6310, 0.4746, 0.8729)  3 Ti 2.39-2.41
Ti (0.9180, 0.3366, 0.9965)  6 S 2.38-2.47
Ti (0.0000, 0.0000, 0.5000)  6 S 2.40-2.43
S (0.2017, 0.1968, 0.1196)  3 Ti 2.39-2.41
Ti (0.1668, 0.3303, 0.4955)  6 S 2.38-2.46
Ti (0.3302, 0.6769, 0.5016)  6 S 2.36-2.47
S (0.0426, 0.8650, 0.1304)  4 Ti 2.33-2.47
Ti (0.4200, 0.3349, 0.9990)  6 S 2.38-2.48
S (0.6063, 0.5834, 0.3750)  4 Ti 2.44-2.50
S (0.1308, 0.4843, 0.8685)  4 Ti 2.32-2.48
Ti (0.7516, 0.0008, 0.0037)  6 S 2.37-2.45
S (0.3690, 0.5254, 0.1271)  3 Ti 2.39-2.41
S (0.6999, 0.1961, 0.1243)  3 Ti 2.37-2.44
S (0.0626, 0.7503, 0.6274)  3 Ti 2.37-2.41
Ti (0.5000, 0.0000, 0.5000)  6 S 2.40-2.43
Ti (0.5800, 0.6651, 0.0010)  6 S 2.38-2.48

Computed properties:
- theoretical density (g/cm³) = 3.59
- VASP energy (eV per atom) = -7.27
- formation energy from raw total energies (meV per atom) = -1434
- magnetization (Bohr magnetons per cell) = 0.0



Entry 8:
Below is a geometry-optimized Co3RhSe structure, with properties calculated at the PBEsol level.

a = 4.2027 Å, b = 4.2027 Å, c = 4.2027 Å
α = 90.00°, β = 90.00°, γ = 90.00°
Last column: nearest neighbours and their distance in Å.
Fractional coordinates of all 5 atoms:
Se (0.0000, 0.0000, 0.0000)  6 Co 2.10
Rh (0.5000, 0.5000, 0.5000)  12 Co 2.97
Co (0.0000, 0.5000, 0.0000)  2 Se 2.10
Co (0.0000, 0.0000, 0.5000)  2 Se 2.10
Co (0.5000, 0.0000, 0.0000)  2 Se 2.10

Computed properties:
- theoretical density (g/cm³) = 8.02
- VASP energy (eV per atom) = -6.13
- formation energy from raw total energies (meV per atom) = 909
- magnetization (Bohr magnetons per cell) = 5.1